A plane-wave DFT calculation with PBE was carried out for a relaxed structure of ErPbC2O6.

Results
The volume comes out at 263.17 Å³ per cell. The value obtained for the magnetic moment is 0.0000 μB per atom. As for the space-group type: C2/c. Its raw total energy is -7.45 eV/atom.

Structure (CIF):
```
data_ErPbC2O6
_cell_length_a 6.4332
_cell_length_b 6.4332
_cell_length_c 7.0524
_cell_angle_alpha 108.21
_cell_angle_beta 108.21
_cell_angle_gamma 82.39
_symmetry_space_group_name_H-M 'P 1'
_symmetry_Int_Tables_number 1
loop_
_symmetry_equiv_pos_as_xyz
'x,y,z'
loop_
_atom_site_label
_atom_site_type_symbol
_atom_site_fract_x
_atom_site_fract_y
_atom_site_fract_z
_atom_site_occupancy
C1 C 0.5730 0.8666 0.2585 1
O1 O 0.7161 0.4554 0.5991 1
Er1 Er 0.5805 0.4195 0.2500 1
O2 O 0.5446 0.2839 0.9009 1
C2 C 0.1334 0.4270 0.2415 1
Pb1 Pb 0.9576 0.0424 0.7500 1
O3 O 0.1977 0.3398 0.0767 1
O4 O 0.3398 0.1977 0.5767 1
O5 O 0.9466 0.3979 0.2565 1
Er2 Er 0.4195 0.5805 0.7500 1
O6 O 0.6021 0.0534 0.2435 1
Pb2 Pb 0.0424 0.9576 0.2500 1
O7 O 0.2839 0.5446 0.4009 1
O8 O 0.3979 0.9466 0.7565 1
O9 O 0.0534 0.6021 0.7435 1
C3 C 0.8666 0.5730 0.7585 1
C4 C 0.4270 0.1334 0.7415 1
O10 O 0.4554 0.7161 0.0991 1
O11 O 0.8023 0.6602 0.9233 1
O12 O 0.6602 0.8023 0.4233 1
```